Below is a relaxed Tb3Y4Tl4 crystal, with properties calculated at the PBE level.

abc: 3.720 9.593 18.517
angles: 90.00 90.00 90.00
Space group Immm (No. 71)
Unique sites:
1 Tb 0.000 0.000 0.000 [2 per cell]
2 Tb 0.000 0.500 0.098 [4 per cell]
3 Y 0.000 0.307 0.335 [8 per cell]
4 Tl 0.000 0.000 0.265 [4 per cell]
5 Tl 0.000 0.221 0.500 [4 per cell]

Properties
Electronic total energy = -103.91 eV/cell
Calculated formation energy = -0.250 eV per atom
Crystal system = orthorhombic
Density = 8.29 g cm⁻³
Volume = 660.8 Å³/cell



Below is a relaxed TbY6Tl2 crystal, with properties calculated at the PBE level.

abc: 12.803 3.756 12.037
angles: 90.00 107.83 90.00
Space group C2/m (No. 12)
Unique sites:
1 Tb 0.000 0.000 0.000 [2 per cell]
2 Y 0.016 0.000 0.345 [4 per cell]
3 Y 0.185 0.500 0.876 [4 per cell]
4 Y 0.191 0.500 0.587 [4 per cell]
5 Tl 0.140 0.500 0.205 [4 per cell]

Properties
Electronic total energy = -99.29 eV/cell
Calculated formation energy = -0.167 eV per atom
Crystal system = monoclinic
Density = 6.64 g cm⁻³
Volume = 551.1 Å³/cell



Below is a relaxed TbY2Tl crystal, with properties calculated at the PBE level.

abc: 7.763 7.763 7.763
angles: 90.00 90.00 90.00
Space group F-43m (No. 216)
Unique sites:
1 Tb 0.000 0.000 0.000 [4 per cell]
2 Y 0.000 0.000 0.500 [4 per cell]
3 Y 0.250 0.250 0.250 [4 per cell]
4 Tl 0.250 0.250 0.750 [4 per cell]

Properties
Electronic total energy = -80.19 eV/cell
Calculated formation energy = -0.031 eV per atom
Crystal system = cubic
Density = 7.68 g cm⁻³
Volume = 467.8 Å³/cell



Below is a relaxed TbY2Tl2 crystal, with properties calculated at the PBE level.

abc: 5.798 3.727 14.031
angles: 90.00 95.64 90.00
Space group P2_1/m (No. 11)
Unique sites:
1 Tb 0.200 0.250 0.251 [2 per cell]
2 Y 0.242 0.750 0.466 [2 per cell]
3 Y 0.312 0.250 0.883 [2 per cell]
4 Tl 0.188 0.750 0.057 [2 per cell]
5 Tl 0.286 0.250 0.660 [2 per cell]

Properties
Electronic total energy = -46.07 eV/cell
Calculated formation energy = -0.149 eV per atom
Crystal system = monoclinic
Density = 8.20 g cm⁻³
Volume = 301.8 Å³/cell



Below is a relaxed TbY2Tl crystal, with properties calculated at the PBE level.

abc: 3.639 3.639 9.115
angles: 90.00 90.00 90.00
Space group P4/mmm (No. 123)
Unique sites:
1 Tb 0.000 0.000 0.000 [1 per cell]
2 Y 0.500 0.500 0.273 [2 per cell]
3 Tl 0.000 0.000 0.500 [1 per cell]

Properties
Electronic total energy = -20.65 eV/cell
Calculated formation energy = -0.182 eV per atom
Crystal system = tetragonal
Density = 7.44 g cm⁻³
Volume = 120.7 Å³/cell



Below is a relaxed TbY5Tl6 crystal, with properties calculated at the PBE level.

abc: 9.273 16.177 5.378
angles: 90.00 125.27 90.00
Space group C2/m (No. 12)
Unique sites:
1 Tb 0.000 0.000 0.000 [2 per cell]
2 Y 0.000 0.166 0.500 [4 per cell]
3 Y 0.000 0.333 0.000 [4 per cell]
4 Y 0.000 0.500 0.500 [2 per cell]
5 Tl 0.249 0.500 0.249 [4 per cell]
6 Tl 0.250 0.167 0.250 [8 per cell]

Properties
Electronic total energy = -111.22 eV/cell
Calculated formation energy = -0.372 eV per atom
Crystal system = monoclinic
Density = 9.23 g cm⁻³
Volume = 658.7 Å³/cell



Below is a relaxed Tb8YTl2 crystal, with properties calculated at the PBE level.

abc: 8.896 15.267 5.638
angles: 90.00 114.31 90.00
Space group C2/m (No. 12)
Unique sites:
1 Tb 0.000 0.218 0.000 [4 per cell]
2 Tb 0.097 0.500 0.797 [4 per cell]
3 Tb 0.208 0.114 0.618 [8 per cell]
4 Y 0.000 0.000 0.000 [2 per cell]
5 Tl 0.000 0.306 0.500 [4 per cell]

Properties
Electronic total energy = -96.62 eV/cell
Calculated formation energy = -0.007 eV per atom
Crystal system = monoclinic
Density = 8.42 g cm⁻³
Volume = 697.8 Å³/cell



Below is a relaxed Tb4Y2Tl crystal, with properties calculated at the PBE level.

abc: 5.685 6.754 11.733
angles: 90.00 102.39 90.00
Space group P2_1/m (No. 11)
Unique sites:
1 Tb 0.124 0.250 0.147 [2 per cell]
2 Tb 0.213 0.750 0.404 [2 per cell]
3 Tb 0.331 0.511 0.706 [4 per cell]
4 Y 0.224 0.250 0.442 [2 per cell]
5 Y 0.436 0.750 0.021 [2 per cell]
6 Tl 0.010 0.250 0.865 [2 per cell]

Properties
Electronic total energy = -67.69 eV/cell
Calculated formation energy = -0.004 eV per atom
Crystal system = monoclinic
Density = 7.68 g cm⁻³
Volume = 440.0 Å³/cell



Below is a relaxed Tb12Y5Tl2 crystal, with properties calculated at the PBE level.

abc: 15.449 9.287 8.402
angles: 90.00 92.18 90.00
Space group C2/m (No. 12)
Unique sites:
1 Tb 0.052 0.000 0.321 [4 per cell]
2 Tb 0.086 0.500 0.887 [4 per cell]
3 Tb 0.124 0.196 0.655 [8 per cell]
4 Tb 0.150 0.315 0.238 [8 per cell]
5 Y 0.000 0.500 0.500 [2 per cell]
6 Y 0.187 0.000 0.002 [4 per cell]
7 Y 0.235 0.500 0.583 [4 per cell]
8 Tl 0.000 0.186 0.000 [4 per cell]

Properties
Electronic total energy = -184.54 eV/cell
Calculated formation energy = 0.018 eV per atom
Crystal system = monoclinic
Density = 7.61 g cm⁻³
Volume = 1204.6 Å³/cell



Below is a relaxed Tb2Y3Tl crystal, with properties calculated at the PBE level.

abc: 4.882 15.250 4.874
angles: 90.00 90.00 90.00
Space group Cmmm (No. 65)
Unique sites:
1 Tb 0.000 0.163 0.000 [4 per cell]
2 Y 0.000 0.000 0.500 [2 per cell]
3 Y 0.000 0.332 0.500 [4 per cell]
4 Tl 0.000 0.500 0.000 [2 per cell]

Properties
Electronic total energy = -63.37 eV/cell
Calculated formation energy = -0.111 eV per atom
Crystal system = orthorhombic
Density = 7.22 g cm⁻³
Volume = 362.9 Å³/cell



Below is a relaxed TbYTl3 crystal, with properties calculated at the PBE level.

abc: 7.448 12.887 6.407
angles: 90.00 90.00 90.00
Space group Cmcm (No. 63)
Unique sites:
1 Tb 0.000 0.000 0.000 [4 per cell]
2 Y 0.000 0.334 0.250 [4 per cell]
3 Tl 0.000 0.200 0.750 [4 per cell]
4 Tl 0.200 0.400 0.750 [8 per cell]

Properties
Electronic total energy = -73.31 eV/cell
Calculated formation energy = -0.027 eV per atom
Crystal system = orthorhombic
Density = 9.30 g cm⁻³
Volume = 614.9 Å³/cell



Below is a relaxed Tb5YTl3 crystal, with properties calculated at the PBE level.

abc: 9.4032 9.4032 6.7591
angles: 90.00 90.00 120.00
Space group P6_3/mcm (No. 193)
Unique sites:
1 Tb 0.0000 0.3372 0.2500 [6 per cell]
2 Tb 0.3333 0.6667 0.0000 [4 per cell]
3 Y 0.0000 0.0000 0.0000 [2 per cell]
4 Tl 0.0000 0.3289 0.7500 [6 per cell]

Properties
Electronic total energy = -78.26 eV/cell
Calculated formation energy = -0.268 eV per atom
Crystal system = hexagonal
Density = 9.60 g cm⁻³
Volume = 517.6 Å³/cell



- Among the records above, which one has the lowest calculated formation energy?
  TbY5Tl6



- What is the formula in the tenth record?
  Tb2Y3Tl



- Among the records above, which one has the lowest electronic total energy?
  Tb12Y5Tl2



Please write out number 2 again, unchanged.
Below is a relaxed TbY6Tl2 crystal, with properties calculated at the PBE level.

abc: 12.803 3.756 12.037
angles: 90.00 107.83 90.00
Space group C2/m (No. 12)
Unique sites:
1 Tb 0.000 0.000 0.000 [2 per cell]
2 Y 0.016 0.000 0.345 [4 per cell]
3 Y 0.185 0.500 0.876 [4 per cell]
4 Y 0.191 0.500 0.587 [4 per cell]
5 Tl 0.140 0.500 0.205 [4 per cell]

Properties
Electronic total energy = -99.29 eV/cell
Calculated formation energy = -0.167 eV per atom
Crystal system = monoclinic
Density = 6.64 g cm⁻³
Volume = 551.1 Å³/cell